{
  "formula": "CsFePO2",
  "functional": "GGA+U",
  "state": "optimized geometry",
  "magnetic_moment_mub_per_atom": 0.642,
  "spacegroup": "P4/mmm",
  "final_energy_ev_per_cell": -15.746,
  "de_polymorph_ev_per_fu": 6.59,
  "n_ef_per_ev_cell": 5.71,
  "lattice_angstrom": [[4.173, 0.000, 0.000], [0.000, 4.173, 0.000], [0.000, 0.000, 6.663]],
  "species": ["Cs", "Fe", "P", "O", "O"],
  "frac_coords": [[0.000, 0.000, 0.000], [0.500, 0.500, 0.500], [0.000, 0.000, 0.500], [0.000, 0.500, 0.000], [0.500, 0.000, 0.000]]
}